No. 1
Entry from Alexandria via LeMat-Bulk: crystalline U2Al19Co6 at its relaxed geometry (PBE).

a = 10.6124 Å, b = 10.6124 Å, c = 8.1457 Å
α = 78.58°, β = 78.58°, γ = 68.84°
Sites, in units of the cell vectors:
U: 0.2817 0.2817 0.7460
U: 0.7183 0.7183 0.2540
U: 0.2819 0.2819 0.2237
U: 0.7181 0.7181 0.7763
Al: 0.8543 0.1997 0.6371
Al: 0.1852 0.5331 0.9463
Al: 0.5659 0.3295 0.1549
Al: 0.4841 0.8147 0.5512
Al: 0.5030 0.0017 0.7596
Al: 0.9983 0.4970 0.2404
Al: 0.8327 0.1673 0.0000
Al: 0.9099 0.9099 0.1854
Al: 0.0901 0.0901 0.8146
Al: 0.9175 0.9175 0.6447
Al: 0.3295 0.5659 0.1549
Al: 0.4669 0.8148 0.0537
Al: 0.0825 0.0825 0.3553
Al: 0.1673 0.8327 0.0000
Al: 0.6705 0.4341 0.8451
Al: 0.9307 0.7008 0.4669
Al: 0.2992 0.0693 0.5331
Al: 0.1457 0.8003 0.3629
Al: 0.0548 0.2792 0.0458
Al: 0.7208 0.9452 0.9542
Al: 0.5331 0.1852 0.9463
Al: 0.1997 0.8543 0.6371
Al: 0.0693 0.2992 0.5331
Al: 0.5634 0.3278 0.6484
Al: 0.2792 0.0548 0.0458
Al: 0.5159 0.1853 0.4488
Al: 0.7008 0.9307 0.4669
Al: 0.3278 0.5634 0.6484
Al: 0.4341 0.6705 0.8451
Al: 0.4366 0.6722 0.3516
Al: 0.9452 0.7208 0.9542
Al: 0.8003 0.1457 0.3629
Al: 0.8148 0.4669 0.0537
Al: 0.1853 0.5159 0.4488
Al: 0.8147 0.4841 0.5512
Al: 0.0017 0.5030 0.7596
Al: 0.6722 0.4366 0.3516
Al: 0.4970 0.9983 0.2404
Co: 0.9215 0.3208 0.8110
Co: 0.6864 0.0818 0.6705
Co: 0.5642 0.5642 0.0925
Co: 0.3208 0.9215 0.8110
Co: 0.9182 0.3136 0.3295
Co: 0.4358 0.4358 0.9075
Co: 0.4389 0.4389 0.4054
Co: 0.3136 0.9182 0.3295
Co: 0.0785 0.6792 0.1890
Co: 0.0818 0.6864 0.6705
Co: 0.5611 0.5611 0.5946
Co: 0.6792 0.0785 0.1890

Summary:
Fermi-level density of states ... 20.99 states/eV/f.u.
Symmetry ... C2/m (12)
Calculated volume ... 415.3 Å³/f.u.
Energy relative to the elements ... -10.66 eV per formula unit
Total energy ... -5.444 eV/atom



No. 2
Entry from Alexandria via LeMat-Bulk: crystalline U2Al8Co at its relaxed geometry (PBE).

a = 4.2231 Å, b = 4.2231 Å, c = 11.0861 Å
α = 90.00°, β = 90.00°, γ = 90.00°
Sites, in units of the cell vectors:
U: 0.0000 0.0000 0.3079
U: 0.0000 0.0000 0.6921
Al: 0.0000 0.5000 0.5000
Al: 0.5000 0.0000 0.5000
Al: 0.5000 0.5000 0.3058
Al: 0.5000 0.5000 0.6942
Al: 0.0000 0.5000 0.1181
Al: 0.5000 0.0000 0.1181
Al: 0.0000 0.5000 0.8819
Al: 0.5000 0.0000 0.8819
Co: 0.0000 0.0000 0.0000

Summary:
Fermi-level density of states ... 12.04 states/eV/f.u.
Symmetry ... P4/mmm (123)
Calculated volume ... 197.7 Å³/f.u.
Energy relative to the elements ... -2.62 eV per formula unit
Total energy ... -5.659 eV/atom



No. 3
Entry from Alexandria via LeMat-Bulk: crystalline UAlCo2 at its relaxed geometry (PBE).

a = 2.7828 Å, b = 2.7828 Å, c = 8.6625 Å
α = 80.76°, β = 80.76°, γ = 60.00°
Sites, in units of the cell vectors:
Co: 0.7416 0.7416 0.7751
Co: 0.2584 0.2584 0.2249
U: 0.5000 0.5000 0.5000
Al: 0.0000 0.0000 0.0000

Summary:
Fermi-level density of states ... 6.04 states/eV/f.u.
Symmetry ... R-3m (166)
Calculated volume ... 57.1 Å³/f.u.
Energy relative to the elements ... 0.29 eV per formula unit
Total energy ... -7.237 eV/atom